No. 1
Here is a geometry-optimized In3Pd structure from the Alexandria database. Energies are from PBE-GGA.

## Properties
The space group is Pmm2 (25). The calculation puts the formation energy at -0.15 eV/atom. The uncorrected energy comes out at -14.0 eV per cell.

Geometry as POSCAR:
```
In3Pd
1.0
-0.990 3.056 0.198
-0.626 0.006 -3.235
-8.301 -2.792 1.601
In Pd
3 1
Cartesian
-4.156 -1.289 -0.876
-6.551 -0.509 1.267
-2.119 1.090 -1.266
-8.159 -2.745 1.574
```

---

No. 2
Here is a geometry-optimized Tb3DyCo8 structure from the Alexandria database. Energies are from PBE-GGA.

## Properties
The space group is R3m (160). The calculation puts the formation energy at -0.19 eV/atom. The uncorrected energy comes out at -77.6 eV per cell.

Geometry as POSCAR:
```
Tb3DyCo8
1.0
5.076 0.000 0.000
2.538 4.396 0.000
2.538 1.465 8.296
Co Dy Tb
8 1 3
Cartesian
5.076 4.395 1.560
3.808 2.199 1.560
8.882 5.128 5.699
2.538 1.465 3.628
7.615 2.933 5.699
7.615 4.396 7.778
6.345 2.199 1.560
6.347 5.128 5.699
7.615 4.396 3.110
5.076 2.931 4.147
5.076 2.931 7.259
7.615 4.396 0.001
```

---

No. 3
Here is a geometry-optimized CrCdCo2 structure from the Alexandria database. Energies are from PBE-GGA.

## Properties
The space group is I-4m2 (119). The calculation puts the formation energy at 0.43 eV/atom. The uncorrected energy comes out at -23.0 eV per cell.

Geometry as POSCAR:
```
CrCdCo2
1.0
-3.248 -3.458 -0.365
0.743 -3.611 3.007
-0.221 4.729 0.477
Co Cr Cd
2 1 1
Cartesian
0.000 0.000 0.000
-0.365 -1.209 2.403
-1.252 -3.535 1.321
-2.361 -1.132 0.717
```

---

No. 4
Here is a geometry-optimized GaNi2Rh2 structure from the Alexandria database. Energies are from PBE-GGA.

## Properties
The space group is P4/mbm (127). The calculation puts the formation energy at 0.04 eV/atom. The uncorrected energy comes out at -58.2 eV per cell.

Geometry as POSCAR:
```
GaNi2Rh2
1.0
6.382 0.000 0.000
0.000 6.382 0.000
0.000 0.000 3.515
Rh Ni Ga
4 4 2
Cartesian
5.461 4.111 0.000
0.921 2.270 0.000
2.270 5.461 0.000
4.111 0.921 0.000
2.238 0.953 1.757
5.429 2.238 1.757
0.953 4.144 1.757
4.144 5.429 1.757
0.000 0.000 0.000
3.191 3.191 0.000
```